Record 1
DFT (GGA-PBE) results for an optimized crystal structure of SbBr2Cl8.

The space group is C2/m (No. 12) and the conventional cell measures 15.6641, 7.0301 and 7.7129 Å, with angles of 90.00, 112.26 and 90.00 degrees. The inequivalent atoms are Sb at (0.0000, 0.0000, 0.0000), Br at (0.2437, 0.5000, 0.5318), Cl at (0.0761, 0.0000, 0.3536), Cl at (0.0922, 0.5000, 0.4311) and Cl at (0.1034, 0.2375, 0.9781).

The crystal system is monoclinic. The value obtained for the total DFT energy (no corrections) is -2.356 eV per atom. The calculation puts the total magnetization at 0.00 μB/f.u.

***

Record 2
DFT (GGA-PBE) results for an optimized crystal structure of Pa2Zn2Pd3.

The space group is Cmcm (No. 63) and the conventional cell measures 3.7991, 18.8248 and 7.6405 Å, with angles of 90.00, 90.00 and 90.00 degrees. The inequivalent atoms are Pa at (0.0000, 0.0659, 0.2500), Pa at (0.0000, 0.1495, 0.7500), Zn at (0.0000, 0.3057, 0.5518), Pd at (0.0000, 0.2329, 0.2500) and Pd at (0.0000, 0.4346, 0.0600).

The energy of formation is -0.4404 eV/atom. The crystal system is orthorhombic. The value obtained for the total DFT energy (no corrections) is -5.743 eV per atom. The calculation puts the total magnetization at 0.46 μB/f.u.

***

> The lowest total magnetization belongs to which entry?

SbBr2Cl8